1.
The following is a DFT calculation (PBE-GGA) of LiAlVCr2 after structural relaxation.

Calculated values
- VASP energy: -25.98 eV per cell
- Magnetization: 0.0 μB/f.u.

Cell and atoms, written as CIF:
```
data_LiAlVCr2
_chemical_formula_sum 'Li1 Al1 V1 Cr2'
_symmetry_space_group_name_H-M 'P 4/m m m'
_symmetry_Int_Tables_number 123
_symmetry_space_group_name_Hall '-P 4 2'
_cell_length_a 4.404
_cell_length_b 4.404
_cell_length_c 4.561
_cell_angle_alpha 90.00
_cell_angle_beta 90.00
_cell_angle_gamma 90.00
loop_
_atom_site_label
_atom_site_type_symbol
_atom_site_fract_x
_atom_site_fract_y
_atom_site_fract_z
_atom_site_occupancy
Li1 Li 0.000 0.000 0.000 1
Al1 Al 0.500 0.500 0.500 1
V1 V 0.500 0.500 0.000 1
Cr1 Cr 0.000 0.500 0.500 1
```

=====

2.
The following is a DFT calculation (PBE-GGA) of Ac3TbSe6 after structural relaxation.

Calculated values
- VASP energy: -345.90 eV per cell
- E above lowest polymorph: 0.0000 eV per atom
- Magnetization: 0.0 μB/f.u.
- ΔE_f (raw): -1.979 eV per atom

Cell and atoms, written as CIF:
```
data_Ac3TbSe6
_chemical_formula_sum 'Ac18 Tb6 Se36'
_symmetry_space_group_name_H-M 'R -3'
_symmetry_Int_Tables_number 148
_symmetry_space_group_name_Hall '-R 3'
_cell_length_a 12.8389
_cell_length_b 12.8389
_cell_length_c 14.9565
_cell_angle_alpha 90.00
_cell_angle_beta 90.00
_cell_angle_gamma 120.00
loop_
_atom_site_label
_atom_site_type_symbol
_atom_site_fract_x
_atom_site_fract_y
_atom_site_fract_z
_atom_site_occupancy
Ac1 Ac 0.0489 0.2705 0.1998 1
Tb1 Tb 0.0000 0.0000 0.0000 1
Tb2 Tb 0.0000 0.0000 0.5000 1
Se1 Se 0.0243 0.2051 0.4002 1
Se2 Se 0.0318 0.1908 0.8840 1
```

=====

3.
The following is a DFT calculation (PBE-GGA) of Cs3BiIr after structural relaxation.

Calculated values
- VASP energy: -12.19 eV per cell
- Magnetization: 2.0 μB/f.u.

Cell and atoms, written as CIF:
```
data_Cs3BiIr
_chemical_formula_sum 'Cs3 Bi1 Ir1'
_symmetry_space_group_name_H-M 'P m -3 m'
_symmetry_Int_Tables_number 221
_symmetry_space_group_name_Hall '-P 4 2 3'
_cell_length_a 6.183
_cell_length_b 6.183
_cell_length_c 6.183
_cell_angle_alpha 90.00
_cell_angle_beta 90.00
_cell_angle_gamma 90.00
loop_
_atom_site_label
_atom_site_type_symbol
_atom_site_fract_x
_atom_site_fract_y
_atom_site_fract_z
_atom_site_occupancy
Cs1 Cs 0.000 0.000 0.500 1
Bi1 Bi 0.500 0.500 0.500 1
Ir1 Ir 0.000 0.000 0.000 1
```

=====

4.
The following is a DFT calculation (PBE-GGA) of Sr2LiYCd after structural relaxation.

Calculated values
- VASP energy: -9.43 eV per cell
- Magnetization: 1.5 μB/f.u.

Cell and atoms, written as CIF:
```
data_Sr2LiYCd
_chemical_formula_sum 'Sr2 Li1 Y1 Cd1'
_symmetry_space_group_name_H-M 'P 4/m m m'
_symmetry_Int_Tables_number 123
_symmetry_space_group_name_Hall '-P 4 2'
_cell_length_a 6.668
_cell_length_b 6.668
_cell_length_c 5.707
_cell_angle_alpha 90.00
_cell_angle_beta 90.00
_cell_angle_gamma 90.00
loop_
_atom_site_label
_atom_site_type_symbol
_atom_site_fract_x
_atom_site_fract_y
_atom_site_fract_z
_atom_site_occupancy
Sr1 Sr 0.000 0.500 0.000 1
Li1 Li 0.000 0.000 0.500 1
Y1 Y 0.500 0.500 0.000 1
Cd1 Cd 0.500 0.500 0.500 1
```

=====

5.
The following is a DFT calculation (PBE-GGA) of Li5AlAg4 after structural relaxation.

Calculated values
- VASP energy: -53.69 eV per cell
- E above lowest polymorph: 0.0000 eV per atom
- Magnetization: 0.0 μB/f.u.

Cell and atoms, written as CIF:
```
data_Li5AlAg4
_chemical_formula_sum 'Li10 Al2 Ag8'
_symmetry_space_group_name_H-M 'C 1 2/m 1'
_symmetry_Int_Tables_number 12
_symmetry_space_group_name_Hall '-C 2y'
_cell_length_a 13.193
_cell_length_b 4.533
_cell_length_c 5.534
_cell_angle_alpha 90.00
_cell_angle_beta 104.70
_cell_angle_gamma 90.00
loop_
_atom_site_label
_atom_site_type_symbol
_atom_site_fract_x
_atom_site_fract_y
_atom_site_fract_z
_atom_site_occupancy
Li1 Li 0.000 0.000 0.000 1
Li2 Li 0.103 0.500 0.881 1
Li3 Li 0.200 0.000 0.307 1
Al1 Al 0.000 0.000 0.500 1
Ag1 Ag 0.096 0.500 0.381 1
Ag2 Ag 0.202 0.000 0.801 1
```

=====

6.
The following is a DFT calculation (PBE-GGA) of NdCu7O12 after structural relaxation.

Calculated values
- VASP energy: -219.15 eV per cell
- Magnetization: 0.0 μB/f.u.
- ΔE_f (raw): -0.832 eV per atom

Cell and atoms, written as CIF:
```
data_NdCu7O12
_chemical_formula_sum 'Nd2 Cu14 O24'
_symmetry_space_group_name_H-M 'I m -3'
_symmetry_Int_Tables_number 204
_symmetry_space_group_name_Hall '-I 2 2 3'
_cell_length_a 7.355
_cell_length_b 7.355
_cell_length_c 7.355
_cell_angle_alpha 90.00
_cell_angle_beta 90.00
_cell_angle_gamma 90.00
loop_
_atom_site_label
_atom_site_type_symbol
_atom_site_fract_x
_atom_site_fract_y
_atom_site_fract_z
_atom_site_occupancy
Nd1 Nd 0.000 0.000 0.000 1
Cu1 Cu 0.000 0.000 0.500 1
Cu2 Cu 0.250 0.250 0.250 1
O1 O 0.000 0.309 0.171 1
```

=====

7.
The following is a DFT calculation (PBE-GGA) of Tm5Sc12Nb3 after structural relaxation.

Calculated values
- VASP energy: -853.80 eV per cell
- Magnetization: 0.0 μB/f.u.

Cell and atoms, written as CIF:
```
data_Tm5Sc12Nb3
_chemical_formula_sum 'Tm40 Sc96 Nb24'
_symmetry_space_group_name_H-M 'I a -3 d'
_symmetry_Int_Tables_number 230
_symmetry_space_group_name_Hall '-I 4bd 2c 3'
_cell_length_a 17.021
_cell_length_b 17.021
_cell_length_c 17.021
_cell_angle_alpha 90.00
_cell_angle_beta 90.00
_cell_angle_gamma 90.00
loop_
_atom_site_label
_atom_site_type_symbol
_atom_site_fract_x
_atom_site_fract_y
_atom_site_fract_z
_atom_site_occupancy
Tm1 Tm 0.000 0.000 0.000 1
Tm2 Tm 0.000 0.250 0.375 1
Sc1 Sc 0.010 0.096 0.646 1
Nb1 Nb 0.000 0.250 0.125 1
```

=====

8.
The following is a DFT calculation (PBE-GGA) of ThSbTe after structural relaxation.

Calculated values
- VASP energy: -15.91 eV per cell
- Magnetization: 0.0 μB/f.u.
- ΔE_f (raw): -0.409 eV per atom

Cell and atoms, written as CIF:
```
data_ThSbTe
_chemical_formula_sum 'Th1 Sb1 Te1'
_symmetry_space_group_name_H-M 'P 3 m 1'
_symmetry_Int_Tables_number 156
_symmetry_space_group_name_Hall 'P 3 -2"'
_cell_length_a 5.3293
_cell_length_b 5.3293
_cell_length_c 3.7994
_cell_angle_alpha 90.00
_cell_angle_beta 90.00
_cell_angle_gamma 120.00
loop_
_atom_site_label
_atom_site_type_symbol
_atom_site_fract_x
_atom_site_fract_y
_atom_site_fract_z
_atom_site_occupancy
Th1 Th 0.0000 0.0000 0.0000 1
Sb1 Sb 0.3333 0.6667 0.0015 1
Te1 Te 0.6667 0.3333 0.5002 1
```

=====

9.
The following is a DFT calculation (PBE-GGA) of Rb2Ge2O5 after structural relaxation.

Calculated values
- VASP energy: -413.03 eV per cell
- E above lowest polymorph: 0.0000 eV per atom
- Magnetization: 0.1 μB/f.u.
- ΔE_f (raw): -1.741 eV per atom

Cell and atoms, written as CIF:
```
data_Rb2Ge2O5
_chemical_formula_sum 'Rb16 Ge16 O40'
_symmetry_space_group_name_H-M 'C 1 2/c 1'
_symmetry_Int_Tables_number 15
_symmetry_space_group_name_Hall '-C 2yc'
_cell_length_a 10.781
_cell_length_b 8.926
_cell_length_c 15.023
_cell_angle_alpha 90.00
_cell_angle_beta 91.71
_cell_angle_gamma 90.00
loop_
_atom_site_label
_atom_site_type_symbol
_atom_site_fract_x
_atom_site_fract_y
_atom_site_fract_z
_atom_site_occupancy
Rb1 Rb 0.088 0.107 0.106 1
Rb2 Rb 0.154 0.387 0.566 1
Ge1 Ge 0.111 0.211 0.821 1
Ge2 Ge 0.148 0.420 0.283 1
O1 O 0.000 0.109 0.750 1
O2 O 0.000 0.336 0.250 1
O3 O 0.065 0.207 0.929 1
O4 O 0.137 0.382 0.762 1
O5 O 0.203 0.369 0.386 1
O6 O 0.238 0.376 0.187 1
```

=====

10.
The following is a DFT calculation (PBE-GGA) of KBaTa2 after structural relaxation.

Calculated values
- VASP energy: -42.10 eV per cell
- E above lowest polymorph: 0.6941 eV per atom
- Magnetization: 0.0 μB/f.u.

Cell and atoms, written as CIF:
```
data_KBaTa2
_chemical_formula_sum 'K2 Ba2 Ta4'
_symmetry_space_group_name_H-M 'C 1 2/m 1'
_symmetry_Int_Tables_number 12
_symmetry_space_group_name_Hall '-C 2y'
_cell_length_a 5.925
_cell_length_b 12.517
_cell_length_c 2.982
_cell_angle_alpha 90.00
_cell_angle_beta 109.03
_cell_angle_gamma 90.00
loop_
_atom_site_label
_atom_site_type_symbol
_atom_site_fract_x
_atom_site_fract_y
_atom_site_fract_z
_atom_site_occupancy
K1 K 0.000 0.000 0.000 1
Ba1 Ba 0.000 0.500 0.000 1
Ta1 Ta 0.250 0.250 0.500 1
```

=====

11.
The following is a DFT calculation (PBE-GGA) of MgCu2P after structural relaxation.

Calculated values
- VASP energy: -59.42 eV per cell
- Magnetization: 0.0 μB/f.u.

Cell and atoms, written as CIF:
```
data_MgCu2P
_chemical_formula_sum 'Mg4 Cu8 P4'
_symmetry_space_group_name_H-M 'F m -3 m'
_symmetry_Int_Tables_number 225
_symmetry_space_group_name_Hall '-F 4 2 3'
_cell_length_a 6.106
_cell_length_b 6.106
_cell_length_c 6.106
_cell_angle_alpha 90.00
_cell_angle_beta 90.00
_cell_angle_gamma 90.00
loop_
_atom_site_label
_atom_site_type_symbol
_atom_site_fract_x
_atom_site_fract_y
_atom_site_fract_z
_atom_site_occupancy
Mg1 Mg 0.000 0.000 0.000 1
Cu1 Cu 0.250 0.250 0.250 1
P1 P 0.000 0.000 0.500 1
```

=====

12.
The following is a DFT calculation (PBE-GGA) of TeMoSeN2 after structural relaxation.

Calculated values
- VASP energy: -25.76 eV per cell
- E above lowest polymorph: 1.1137 eV per atom
- Magnetization: 4.1 μB/f.u.
- ΔE_f (raw): 1.669 eV per atom

Cell and atoms, written as CIF:
```
data_TeMoSeN2
_chemical_formula_sum 'Te1 Mo1 Se1 N2'
_symmetry_space_group_name_H-M 'P 4/m m m'
_symmetry_Int_Tables_number 123
_symmetry_space_group_name_Hall '-P 4 2'
_cell_length_a 3.957
_cell_length_b 3.957
_cell_length_c 5.956
_cell_angle_alpha 90.00
_cell_angle_beta 90.00
_cell_angle_gamma 90.00
loop_
_atom_site_label
_atom_site_type_symbol
_atom_site_fract_x
_atom_site_fract_y
_atom_site_fract_z
_atom_site_occupancy
Te1 Te 0.000 0.000 0.000 1
Mo1 Mo 0.500 0.500 0.500 1
Se1 Se 0.000 0.000 0.500 1
N1 N 0.000 0.500 0.000 1
```

=====

13.
The following is a DFT calculation (PBE-GGA) of TaSbCl2 after structural relaxation.

Calculated values
- VASP energy: -20.37 eV per cell
- E above lowest polymorph: 0.4231 eV per atom
- Magnetization: 0.0 μB/f.u.
- ΔE_f (raw): -0.177 eV per atom

Cell and atoms, written as CIF:
```
data_TaSbCl2
_chemical_formula_sum 'Ta1 Sb1 Cl2'
_symmetry_space_group_name_H-M 'P 4/m m m'
_symmetry_Int_Tables_number 123
_symmetry_space_group_name_Hall '-P 4 2'
_cell_length_a 3.038
_cell_length_b 3.038
_cell_length_c 10.375
_cell_angle_alpha 90.00
_cell_angle_beta 90.00
_cell_angle_gamma 90.00
loop_
_atom_site_label
_atom_site_type_symbol
_atom_site_fract_x
_atom_site_fract_y
_atom_site_fract_z
_atom_site_occupancy
Ta1 Ta 0.000 0.000 0.000 1
Sb1 Sb 0.000 0.000 0.500 1
Cl1 Cl 0.500 0.500 0.148 1
```

=====

14.
The following is a DFT calculation (PBE-GGA) of Pm3Zr2Ge3 after structural relaxation.

Calculated values
- VASP energy: -101.63 eV per cell
- Magnetization: 0.6 μB/f.u.

Cell and atoms, written as CIF:
```
data_Pm3Zr2Ge3
_chemical_formula_sum 'Pm6 Zr4 Ge6'
_symmetry_space_group_name_H-M 'P 63/m c m'
_symmetry_Int_Tables_number 193
_symmetry_space_group_name_Hall '-P 6c 2'
_cell_length_a 8.6069
_cell_length_b 8.6069
_cell_length_c 5.9866
_cell_angle_alpha 90.00
_cell_angle_beta 90.00
_cell_angle_gamma 120.00
loop_
_atom_site_label
_atom_site_type_symbol
_atom_site_fract_x
_atom_site_fract_y
_atom_site_fract_z
_atom_site_occupancy
Pm1 Pm 0.0000 0.2504 0.2500 1
Zr1 Zr 0.3333 0.6667 0.0000 1
Ge1 Ge 0.0000 0.3989 0.7500 1
```

=====

15.
The following is a DFT calculation (PBE-GGA) of K5USe6 after structural relaxation.

Calculated values
- VASP energy: -102.47 eV per cell
- Magnetization: 1.1 μB/f.u.
- ΔE_f (raw): -1.129 eV per atom

Cell and atoms, written as CIF:
```
data_K5USe6
_chemical_formula_sum 'K10 U2 Se12'
_symmetry_space_group_name_H-M 'C 1 2/m 1'
_symmetry_Int_Tables_number 12
_symmetry_space_group_name_Hall '-C 2y'
_cell_length_a 8.064
_cell_length_b 13.833
_cell_length_c 7.882
_cell_angle_alpha 90.00
_cell_angle_beta 110.59
_cell_angle_gamma 90.00
loop_
_atom_site_label
_atom_site_type_symbol
_atom_site_fract_x
_atom_site_fract_y
_atom_site_fract_z
_atom_site_occupancy
K1 K 0.000 0.000 0.000 1
K2 K 0.000 0.166 0.500 1
K3 K 0.000 0.323 0.000 1
U1 U 0.000 0.500 0.500 1
Se1 Se 0.201 0.500 0.289 1
Se2 Se 0.210 0.361 0.714 1
```

=====

16.
The following is a DFT calculation (PBE-GGA) of HfScHg2 after structural relaxation.

Calculated values
- VASP energy: -65.22 eV per cell
- E above lowest polymorph: 0.3456 eV per atom
- Magnetization: 0.0 μB/f.u.

Cell and atoms, written as CIF:
```
data_HfScHg2
_chemical_formula_sum 'Hf4 Sc4 Hg8'
_symmetry_space_group_name_H-M 'I -4 2 d'
_symmetry_Int_Tables_number 122
_symmetry_space_group_name_Hall 'I -4 2bw'
_cell_length_a 7.644
_cell_length_b 7.644
_cell_length_c 6.534
_cell_angle_alpha 90.00
_cell_angle_beta 90.00
_cell_angle_gamma 90.00
loop_
_atom_site_label
_atom_site_type_symbol
_atom_site_fract_x
_atom_site_fract_y
_atom_site_fract_z
_atom_site_occupancy
Hf1 Hf 0.000 0.000 0.000 1
Sc1 Sc 0.000 0.000 0.500 1
Hg1 Hg 0.249 0.250 0.125 1
```

=====

17.
The following is a DFT calculation (PBE-GGA) of Cd3Ag after structural relaxation.

Calculated values
- VASP energy: -22.41 eV per cell
- Magnetization: 0.0 μB/f.u.

Cell and atoms, written as CIF:
```
data_Cd3Ag
_chemical_formula_sum 'Cd12 Ag4'
_symmetry_space_group_name_H-M 'C m c m'
_symmetry_Int_Tables_number 63
_symmetry_space_group_name_Hall '-C 2c 2'
_cell_length_a 8.016
_cell_length_b 9.199
_cell_length_c 4.515
_cell_angle_alpha 90.00
_cell_angle_beta 90.00
_cell_angle_gamma 90.00
loop_
_atom_site_label
_atom_site_type_symbol
_atom_site_fract_x
_atom_site_fract_y
_atom_site_fract_z
_atom_site_occupancy
Cd1 Cd 0.000 0.127 0.250 1
Cd2 Cd 0.242 0.377 0.250 1
Ag1 Ag 0.000 0.371 0.750 1
```

=====

18.
The following is a DFT calculation (PBE-GGA) of NiC2 after structural relaxation.

Calculated values
- VASP energy: -80.22 eV per cell
- E above lowest polymorph: 0.9725 eV per atom
- Magnetization: 0.0 μB/f.u.

Cell and atoms, written as CIF:
```
data_NiC2
_chemical_formula_sum 'Ni4 C8'
_symmetry_space_group_name_H-M 'C m c m'
_symmetry_Int_Tables_number 63
_symmetry_space_group_name_Hall '-C 2c 2'
_cell_length_a 2.587
_cell_length_b 14.150
_cell_length_c 2.471
_cell_angle_alpha 90.00
_cell_angle_beta 90.00
_cell_angle_gamma 90.00
loop_
_atom_site_label
_atom_site_type_symbol
_atom_site_fract_x
_atom_site_fract_y
_atom_site_fract_z
_atom_site_occupancy
Ni1 Ni 0.000 0.127 0.250 1
C1 C 0.000 0.249 0.750 1
C2 C 0.000 0.475 0.250 1
```

=====

19.
The following is a DFT calculation (PBE-GGA) of AlCuN after structural relaxation.

Calculated values
- VASP energy: -69.70 eV per cell
- E above lowest polymorph: 0.0000 eV per atom
- Magnetization: 0.0 μB/f.u.
- ΔE_f (raw): -0.420 eV per atom

Cell and atoms, written as CIF:
```
data_AlCuN
_chemical_formula_sum 'Al4 Cu4 N4'
_symmetry_space_group_name_H-M 'I m m 2'
_symmetry_Int_Tables_number 44
_symmetry_space_group_name_Hall 'I 2 -2'
_cell_length_a 3.058
_cell_length_b 9.092
_cell_length_c 5.314
_cell_angle_alpha 90.00
_cell_angle_beta 90.00
_cell_angle_gamma 90.00
loop_
_atom_site_label
_atom_site_type_symbol
_atom_site_fract_x
_atom_site_fract_y
_atom_site_fract_z
_atom_site_occupancy
Al1 Al 0.000 0.210 0.000 1
Cu1 Cu 0.000 0.000 0.406 1
Cu2 Cu 0.000 0.500 0.322 1
N1 N 0.000 0.214 0.351 1
```